The following is a PBE-GGA calculation of a geometry-optimized DyEr2Ga3CuAg2 structure, from OQMD via LeMat-Bulk.

Unit cell a=3.765 b=12.940 c=7.452 alpha=90.00 beta=90.00 gamma=90.00
Space group Amm2 (No. 38)
Symmetry-distinct sites (fractional):
1 Dy 0.000 0.000 0.000 x2
2 Er 0.000 0.198 0.405 x4
3 Ga 0.500 0.000 0.356 x2
4 Ga 0.500 0.123 0.726 x4
5 Cu 0.000 0.000 0.602 x2
6 Ag 0.500 0.168 0.103 x4

=====

The following is a PBE-GGA calculation of a geometry-optimized Sm2Pt2O5 structure, from OQMD via LeMat-Bulk.

Properties
Its offset from the most stable computed form is 2.25 eV per formula unit.

Unit cell a=3.760 b=3.760 c=9.361 alpha=90.00 beta=90.00 gamma=90.00
Space group P4/mmm (No. 123)
Symmetry-distinct sites (fractional):
1 Sm 0.000 0.000 0.239 x2
2 Pt 0.500 0.500 0.000 x1
3 Pt 0.500 0.500 0.500 x1
4 O 0.000 0.000 0.000 x1
5 O 0.000 0.500 0.372 x4

=====

Listing DFT total energy for the structures above in their given order: -4.04, -6.51 eV/atom.